Entry P
CaLa2NiHg | GGA-PBE | relaxed

Output
Density of states at the Fermi level (states/eV/atom): 1.0760
Volume (Å³/cell): 153.5

a b c (Å): 5.439 5.439 5.189
angles (deg): 90.00 90.00 90.00
Space group P4/mmm (No. 123)
One atom of each set of equivalent atoms:
Ca1 0.000 0.000 0.000 x1
La1 0.000 0.500 0.500 x2
Ni1 0.500 0.500 0.500 x1
Hg1 0.500 0.500 0.000 x1

---

Entry Q
CaLa2NiHg | GGA-PBE | relaxed

Output
Density of states at the Fermi level (states/eV/atom): 1.3581
Volume (Å³/cell): 158.7

a b c (Å): 5.335 5.335 5.573
angles (deg): 90.00 90.00 90.00
Space group P4/mmm (No. 123)
One atom of each set of equivalent atoms:
Ca1 0.000 0.000 0.000 x1
La1 0.000 0.500 0.500 x2
Ni1 0.000 0.000 0.500 x1
Hg1 0.500 0.500 0.000 x1

---

Most stable structure - entry Q; separation to the second - 5.1 kJ/mol of atoms.

---

Entry P
CaLa2HgRh | GGA-PBE | relaxed

Output
Density of states at the Fermi level (states/eV/atom): 0.9813
Volume (Å³/cell): 168.3

a b c (Å): 5.472 5.472 5.621
angles (deg): 90.00 90.00 90.00
Space group P4/mmm (No. 123)
One atom of each set of equivalent atoms:
Ca1 0.000 0.000 0.000 x1
La1 0.000 0.500 0.500 x2
Hg1 0.500 0.500 0.000 x1
Rh1 0.000 0.000 0.500 x1

---

Entry Q
CaLa2HgRh | GGA-PBE | relaxed

Output
Density of states at the Fermi level (states/eV/atom): 0.7599
Volume (Å³/cell): 164.0

a b c (Å): 5.460 5.460 5.503
angles (deg): 90.00 90.00 90.00
Space group P4/mmm (No. 123)
One atom of each set of equivalent atoms:
Ca1 0.000 0.000 0.000 x1
La1 0.000 0.500 0.500 x2
Hg1 0.500 0.500 0.000 x1
Rh1 0.500 0.500 0.500 x1

---

Most stable structure - entry P; separation to the second - 5.7 kJ/mol of atoms.

---

Entry P
LiCa3Hg2 | GGA-PBE | relaxed

Output
Density of states at the Fermi level (states/eV/atom): 0.6228
Volume (Å³/cell): 169.6

a b c (Å): 3.824 3.824 11.598
angles (deg): 90.00 90.00 90.00
Space group P4/mmm (No. 123)
One atom of each set of equivalent atoms:
Li1 0.000 0.000 0.000 x1
Ca1 0.500 0.500 0.181 x2
Ca2 0.500 0.500 0.500 x1
Hg1 0.000 0.000 0.331 x2

---

Entry Q
LiCa3Hg2 | GGA-PBE | relaxed

Output
Density of states at the Fermi level (states/eV/atom): 0.6331
Volume (Å³/cell): 331.2

a b c (Å): 5.3778 5.3778 13.2235
angles (deg): 90.00 90.00 120.00
Space group P-3m1 (No. 164)
One atom of each set of equivalent atoms:
Li1 0.3333 0.6667 0.1702 x2
Ca1 0.0000 0.0000 0.2557 x2
Ca2 0.3333 0.6667 0.4231 x2
Ca3 0.3333 0.6667 0.9182 x2
Hg1 0.0000 0.0000 0.0000 x1
Hg2 0.0000 0.0000 0.5000 x1
Hg3 0.3333 0.6667 0.6758 x2

---

Most stable structure - entry Q; separation to the second - 0.9 kJ/mol of atoms.